Density functional theory data (PBE) for crystalline Er3Tm3Rh2 at its relaxed geometry.

The energy relative to the elements is -0.443 eV/atom. For the total energy, the calculation gives -5.6689 eV per atom.

The structure belongs to space group Cmcm (No. 63); the cell edges are 3.749, 12.962 and 17.757 Å and the angles 90.00°, 90.00° and 90.00°. The inequivalent atoms are Er at (0.000, 0.059, 0.089), Er at (0.000, 0.273, 0.250), Tm at (0.000, 0.328, 0.059), Tm at (0.000, 0.453, 0.750) and Rh at (0.000, 0.298, 0.637).

=====

Density functional theory data (PBE) for crystalline Sm3Al3Zn8 at its relaxed geometry.

The energy relative to the elements is -0.372 eV/atom. For the total energy, the calculation gives -2.9136 eV per atom.

The structure belongs to space group Immm (No. 71); the cell edges are 4.321, 9.593 and 12.775 Å and the angles 90.00°, 90.00° and 90.00°. The inequivalent atoms are Sm at (0.000, 0.000, 0.000), Sm at (0.000, 0.000, 0.305), Al at (0.000, 0.209, 0.500), Al at (0.000, 0.500, 0.000), Zn at (0.000, 0.275, 0.139) and Zn at (0.000, 0.367, 0.338).

=====

Density functional theory data (PBE) for crystalline CrNiPS2 at its relaxed geometry.

The distance to the lowest polymorph of the same formula comes out at 234 meV per atom. The value obtained for the raw formation energy is 0.88 eV/atom. For the total energy, the calculation gives -4.9299 eV per atom.

The structure belongs to space group P4/mmm (No. 123); the cell edges are 4.464, 4.464 and 4.213 Å and the angles 90.00°, 90.00° and 90.00°. The inequivalent atoms are Cr at (0.000, 0.000, 0.000), Ni at (0.500, 0.500, 0.500), P at (0.500, 0.500, 0.000) and S at (0.000, 0.500, 0.500).

=====

Density functional theory data (PBE) for crystalline BaFe2Co at its relaxed geometry.

The energy relative to the elements is 0.606 eV/atom. The distance to the lowest polymorph of the same formula comes out at 279 meV per atom. For the total energy, the calculation gives -5.8828 eV per atom.

The structure belongs to space group Pm (No. 6); the cell edges are 3.645, 3.702 and 6.393 Å and the angles 90.00°, 90.25° and 90.00°. The inequivalent atoms are Ba at (0.000, 0.000, 0.000), Fe at (0.496, 0.000, 0.481), Fe at (0.996, 0.500, 0.477) and Co at (0.498, 0.500, 0.704).

=====

Density functional theory data (PBE) for crystalline Pr2YTe4 at its relaxed geometry.

The distance to the lowest polymorph of the same formula comes out at 0 meV per atom. The value obtained for the raw formation energy is -1.45 eV/atom. For the total energy, the calculation gives -5.5317 eV per atom.

The structure belongs to space group Imma (No. 74); the cell edges are 8.922, 8.934 and 12.414 Å and the angles 90.00°, 90.00° and 90.00°. The inequivalent atoms are Pr at (0.000, 0.000, 0.000), Pr at (0.250, 0.250, 0.250), Y at (0.250, 0.250, 0.750), Te at (0.000, 0.008, 0.739) and Te at (0.243, 0.250, 0.504).

=====

Density functional theory data (PBE) for crystalline Rb6HgF8 at its relaxed geometry.

The value obtained for the raw formation energy is -2.41 eV/atom. For the total energy, the calculation gives -3.8149 eV per atom.

The structure belongs to space group R-3 (No. 148, hexagonal axes); the cell edges are 8.2525, 8.2525 and 16.7424 Å and the angles 90.00°, 90.00° and 120.00°. The inequivalent atoms are Rb at (0.0212, 0.4046, 0.4161), Hg at (0.0000, 0.0000, 0.5000), F at (0.0000, 0.0000, 0.1614) and F at (0.0114, 0.2421, 0.5814).

=====

Density functional theory data (PBE) for crystalline K5PBr2O4 at its relaxed geometry.

The value obtained for the raw formation energy is -1.91 eV/atom. For the total energy, the calculation gives -4.7540 eV per atom.

The structure belongs to space group Amm2 (No. 38); the cell edges are 8.628, 10.048 and 6.598 Å and the angles 90.00°, 90.00° and 90.00°. The inequivalent atoms are K at (0.000, 0.000, 0.000), K at (0.306, 0.186, 0.364), P at (0.500, 0.000, 0.892), Br at (0.000, 0.185, 0.619), O at (0.353, 0.000, 0.035) and O at (0.500, 0.127, 0.752).

=====

Density functional theory data (PBE) for crystalline BaAl2Ag2 at its relaxed geometry.

The energy relative to the elements is -0.209 eV/atom. For the total energy, the calculation gives -3.2309 eV per atom.

The structure belongs to space group I4/mmm (No. 139); the cell edges are 4.897, 4.897 and 10.170 Å and the angles 90.00°, 90.00° and 90.00°. The inequivalent atoms are Ba at (0.000, 0.000, 0.000), Al at (0.000, 0.000, 0.368) and Ag at (0.000, 0.500, 0.250).

=====

Density functional theory data (PBE) for crystalline CrIn2Pt at its relaxed geometry.

The energy relative to the elements is -0.051 eV/atom. For the total energy, the calculation gives -5.3361 eV per atom.

The structure belongs to space group Fm-3m (No. 225); the cell edges are 6.654, 6.654 and 6.654 Å and the angles 90.00°, 90.00° and 90.00°. The inequivalent atoms are Cr at (0.000, 0.000, 0.000), In at (0.250, 0.250, 0.250) and Pt at (0.000, 0.000, 0.500).

=====

Density functional theory data (PBE) for crystalline Nd3Ge2BRu3 at its relaxed geometry.

The energy relative to the elements is -0.377 eV/atom. For the total energy, the calculation gives -6.8261 eV per atom.

The structure belongs to space group P-62m (No. 189); the cell edges are 7.3467, 7.3467 and 3.6736 Å and the angles 90.00°, 90.00° and 120.00°. The inequivalent atoms are Nd at (0.0000, 0.3739, 0.0000), Ge at (0.3333, 0.6667, 0.5000), B at (0.0000, 0.0000, 0.0000) and Ru at (0.0000, 0.7819, 0.5000).

=====

Density functional theory data (PBE) for crystalline Sm5Tc2Ag2 at its relaxed geometry.

The energy relative to the elements is -0.073 eV/atom. For the total energy, the calculation gives -5.6315 eV per atom.

The structure belongs to space group Cmce (No. 64); the cell edges are 16.519, 7.513 and 7.568 Å and the angles 90.00°, 90.00° and 90.00°. The inequivalent atoms are Sm at (0.000, 0.000, 0.000), Sm at (0.130, 0.183, 0.317), Tc at (0.000, 0.103, 0.618) and Ag at (0.221, 0.000, 0.000).

=====

Density functional theory data (PBE) for crystalline NdSn4Rh2 at its relaxed geometry.

The energy relative to the elements is -0.488 eV/atom. The distance to the lowest polymorph of the same formula comes out at 148 meV per atom. For the total energy, the calculation gives -5.5573 eV per atom.

The structure belongs to space group P4_2/mnm (No. 136); the cell edges are 9.027, 9.027 and 3.892 Å and the angles 90.00°, 90.00° and 90.00°. The inequivalent atoms are Nd at (0.000, 0.000, 0.000), Sn at (0.070, 0.305, 0.500) and Rh at (0.214, 0.786, 0.500).

=====

| no. | spin magnetization (μB per cell) |
| --- | --- |
| 1 | 0.0 |
| 2 | 0.0 |
| 3 | 0.1 |
| 4 | 7.3 |
| 5 | 0.0 |
| 6 | 0.9 |
| 7 | 0.4 |
| 8 | 0.0 |
| 9 | 16.0 |
| 10 | 0.0 |
| 11 | 0.0 |
| 12 | 0.0 |